Computed, not measured: a PBEsol-optimized structure of LiCo2Tc at the SCAN level of DFT.

CIF file:
```
data_LiCo2Tc
_chemical_formula_sum 'Li1 Co2 Tc1'
_space_group_name_H-M_alt 'P 1'
_space_group_IT_number 1
_cell_length_a 2.653
_cell_length_b 2.653
_cell_length_c 6.365
_cell_angle_alpha 90.00
_cell_angle_beta 90.00
_cell_angle_gamma 90.00
loop_
_space_group_symop_operation_xyz
'x,y,z'
loop_
_atom_site_label
_atom_site_type_symbol
_atom_site_fract_x
_atom_site_fract_y
_atom_site_fract_z
Li1 Li 0.000 0.000 0.000
Co1 Co 0.500 0.500 0.244
Co2 Co 0.500 0.500 0.756
Tc1 Tc 0.000 0.000 0.500
```

The value obtained for the formation energy is 32.7 kJ per mole of atoms. Its distance to the lowest polymorph of the same formula is 130 meV/atom. The symmetry is No. 123.

=====

Computed, not measured: a PBEsol-optimized structure of Li3CoTc at the SCAN level of DFT.

CIF file:
```
data_Li3CoTc
_chemical_formula_sum 'Li3 Co1 Tc1'
_space_group_name_H-M_alt 'P 1'
_space_group_IT_number 1
_cell_length_a 4.131
_cell_length_b 4.131
_cell_length_c 4.131
_cell_angle_alpha 90.00
_cell_angle_beta 90.00
_cell_angle_gamma 90.00
loop_
_space_group_symop_operation_xyz
'x,y,z'
loop_
_atom_site_label
_atom_site_type_symbol
_atom_site_fract_x
_atom_site_fract_y
_atom_site_fract_z
Li1 Li 0.000 0.000 0.500
Li2 Li 0.000 0.500 0.000
Li3 Li 0.500 0.000 0.000
Co1 Co 0.000 0.000 0.000
Tc1 Tc 0.500 0.500 0.500
```

The value obtained for the formation energy is 118.8 kJ per mole of atoms. The symmetry is No. 221.

=====

Computed, not measured: a PBEsol-optimized structure of Li2CoTc at the SCAN level of DFT.

CIF file:
```
data_Li2CoTc
_chemical_formula_sum 'Li2 Co1 Tc1'
_space_group_name_H-M_alt 'P 1'
_space_group_IT_number 1
_cell_length_a 5.176
_cell_length_b 5.176
_cell_length_c 5.176
_cell_angle_alpha 151.51
_cell_angle_beta 132.11
_cell_angle_gamma 56.67
loop_
_space_group_symop_operation_xyz
'x,y,z'
loop_
_atom_site_label
_atom_site_type_symbol
_atom_site_fract_x
_atom_site_fract_y
_atom_site_fract_z
Li1 Li 0.234 0.234 0.000
Li2 Li 0.766 0.766 0.000
Co1 Co 0.000 0.500 0.500
Tc1 Tc 0.500 0.000 0.500
```

The value obtained for the formation energy is 21.8 kJ per mole of atoms. Its distance to the lowest polymorph of the same formula is 3 meV/atom. The symmetry is No. 71.

=====

Computed, not measured: a PBEsol-optimized structure of Li2CoTe at the SCAN level of DFT.

CIF file:
```
data_Li2CoTe
_chemical_formula_sum 'Li2 Co1 Te1'
_space_group_name_H-M_alt 'P 1'
_space_group_IT_number 1
_cell_length_a 4.973
_cell_length_b 4.973
_cell_length_c 4.973
_cell_angle_alpha 136.46
_cell_angle_beta 136.46
_cell_angle_gamma 63.28
loop_
_space_group_symop_operation_xyz
'x,y,z'
loop_
_atom_site_label
_atom_site_type_symbol
_atom_site_fract_x
_atom_site_fract_y
_atom_site_fract_z
Li1 Li 0.250 0.750 0.500
Li2 Li 0.750 0.250 0.500
Co1 Co 0.000 0.000 0.000
Te1 Te 0.500 0.500 0.000
```

The formation energy without anion corrections is -0.203 eV per atom. The symmetry is No. 139.

=====

Computed, not measured: a PBEsol-optimized structure of LiCoTe2 at the SCAN level of DFT.

CIF file:
```
data_LiCoTe2
_chemical_formula_sum 'Li1 Co1 Te2'
_space_group_name_H-M_alt 'P 1'
_space_group_IT_number 1
_cell_length_a 3.217
_cell_length_b 3.313
_cell_length_c 7.249
_cell_angle_alpha 90.00
_cell_angle_beta 90.00
_cell_angle_gamma 90.00
loop_
_space_group_symop_operation_xyz
'x,y,z'
loop_
_atom_site_label
_atom_site_type_symbol
_atom_site_fract_x
_atom_site_fract_y
_atom_site_fract_z
Li1 Li 0.000 0.000 0.000
Co1 Co 0.000 0.000 0.500
Te1 Te 0.500 0.500 0.281
Te2 Te 0.500 0.500 0.719
```

The formation energy without anion corrections is 0.012 eV per atom. The symmetry is No. 47.

=====

Computed, not measured: a PBEsol-optimized structure of Li2CoTe at the SCAN level of DFT.

CIF file:
```
data_Li2CoTe
_chemical_formula_sum 'Li2 Co1 Te1'
_space_group_name_H-M_alt 'P 1'
_space_group_IT_number 1
_cell_length_a 3.767
_cell_length_b 3.767
_cell_length_c 4.110
_cell_angle_alpha 90.00
_cell_angle_beta 90.00
_cell_angle_gamma 90.00
loop_
_space_group_symop_operation_xyz
'x,y,z'
loop_
_atom_site_label
_atom_site_type_symbol
_atom_site_fract_x
_atom_site_fract_y
_atom_site_fract_z
Li1 Li 0.000 0.500 0.000
Li2 Li 0.500 0.000 0.000
Co1 Co 0.000 0.000 0.500
Te1 Te 0.500 0.500 0.500
```

The formation energy without anion corrections is -0.334 eV per atom. The symmetry is No. 123.

=====

Computed, not measured: a PBEsol-optimized structure of Li2CoTe at the SCAN level of DFT.

CIF file:
```
data_Li2CoTe
_chemical_formula_sum 'Li2 Co1 Te1'
_space_group_name_H-M_alt 'P 1'
_space_group_IT_number 1
_cell_length_a 4.878
_cell_length_b 4.878
_cell_length_c 4.878
_cell_angle_alpha 50.80
_cell_angle_beta 50.80
_cell_angle_gamma 50.80
loop_
_space_group_symop_operation_xyz
'x,y,z'
loop_
_atom_site_label
_atom_site_type_symbol
_atom_site_fract_x
_atom_site_fract_y
_atom_site_fract_z
Li1 Li 0.000 0.000 0.000
Li2 Li 0.229 0.229 0.229
Co1 Co 0.786 0.786 0.786
Te1 Te 0.455 0.455 0.455
```

The formation energy without anion corrections is -0.251 eV per atom. The symmetry is No. 160.

=====

Computed, not measured: a PBEsol-optimized structure of Li3TiCo at the SCAN level of DFT.

CIF file:
```
data_Li3TiCo
_chemical_formula_sum 'Li3 Ti1 Co1'
_space_group_name_H-M_alt 'P 1'
_space_group_IT_number 1
_cell_length_a 4.644
_cell_length_b 4.644
_cell_length_c 4.644
_cell_angle_alpha 90.00
_cell_angle_beta 90.00
_cell_angle_gamma 90.00
loop_
_space_group_symop_operation_xyz
'x,y,z'
loop_
_atom_site_label
_atom_site_type_symbol
_atom_site_fract_x
_atom_site_fract_y
_atom_site_fract_z
Li1 Li 0.000 0.000 0.500
Li2 Li 0.000 0.500 0.000
Li3 Li 0.500 0.000 0.000
Ti1 Ti 0.000 0.000 0.000
Co1 Co 0.500 0.500 0.500
```

The value obtained for the formation energy is 131.1 kJ per mole of atoms. The symmetry is No. 221.

=====

Computed, not measured: a PBEsol-optimized structure of LiTiCo3 at the SCAN level of DFT.

CIF file:
```
data_LiTiCo3
_chemical_formula_sum 'Li1 Ti1 Co3'
_space_group_name_H-M_alt 'P 1'
_space_group_IT_number 1
_cell_length_a 3.817
_cell_length_b 3.817
_cell_length_c 3.817
_cell_angle_alpha 90.00
_cell_angle_beta 90.00
_cell_angle_gamma 90.00
loop_
_space_group_symop_operation_xyz
'x,y,z'
loop_
_atom_site_label
_atom_site_type_symbol
_atom_site_fract_x
_atom_site_fract_y
_atom_site_fract_z
Li1 Li 0.000 0.000 0.000
Ti1 Ti 0.500 0.500 0.500
Co1 Co 0.000 0.000 0.500
Co2 Co 0.000 0.500 0.000
Co3 Co 0.500 0.000 0.000
```

The value obtained for the formation energy is 58.2 kJ per mole of atoms. The symmetry is No. 221.

=====

Computed, not measured: a PBEsol-optimized structure of LiZr2TiCo at the SCAN level of DFT.

CIF file:
```
data_LiZr2TiCo
_chemical_formula_sum 'Li1 Zr2 Ti1 Co1'
_space_group_name_H-M_alt 'P 1'
_space_group_IT_number 1
_cell_length_a 4.967
_cell_length_b 4.967
_cell_length_c 4.126
_cell_angle_alpha 90.00
_cell_angle_beta 90.00
_cell_angle_gamma 90.00
loop_
_space_group_symop_operation_xyz
'x,y,z'
loop_
_atom_site_label
_atom_site_type_symbol
_atom_site_fract_x
_atom_site_fract_y
_atom_site_fract_z
Li1 Li 0.000 0.000 0.000
Zr1 Zr 0.000 0.500 0.500
Zr2 Zr 0.500 0.000 0.500
Ti1 Ti 0.500 0.500 0.500
Co1 Co 0.500 0.500 0.000
```

The value obtained for the formation energy is 77.0 kJ per mole of atoms. The symmetry is No. 123.

=====

Computed, not measured: a PBEsol-optimized structure of LiTlCo at the SCAN level of DFT.

CIF file:
```
data_LiTlCo
_chemical_formula_sum 'Li1 Tl1 Co1'
_space_group_name_H-M_alt 'P 1'
_space_group_IT_number 1
_cell_length_a 4.816
_cell_length_b 4.816
_cell_length_c 4.816
_cell_angle_alpha 140.50
_cell_angle_beta 140.50
_cell_angle_gamma 57.09
loop_
_space_group_symop_operation_xyz
'x,y,z'
loop_
_atom_site_label
_atom_site_type_symbol
_atom_site_fract_x
_atom_site_fract_y
_atom_site_fract_z
Li1 Li 0.000 0.000 0.000
Tl1 Tl 0.319 0.319 0.000
Co1 Co 0.648 0.648 0.000
```

The value obtained for the formation energy is 15.7 kJ per mole of atoms. The symmetry is No. 107.

=====

Computed, not measured: a PBEsol-optimized structure of Li2TlCo at the SCAN level of DFT.

CIF file:
```
data_Li2TlCo
_chemical_formula_sum 'Li2 Tl1 Co1'
_space_group_name_H-M_alt 'P 1'
_space_group_IT_number 1
_cell_length_a 3.451
_cell_length_b 3.991
_cell_length_c 4.308
_cell_angle_alpha 90.00
_cell_angle_beta 90.00
_cell_angle_gamma 90.00
loop_
_space_group_symop_operation_xyz
'x,y,z'
loop_
_atom_site_label
_atom_site_type_symbol
_atom_site_fract_x
_atom_site_fract_y
_atom_site_fract_z
Li1 Li 0.000 0.000 0.000
Li2 Li 0.500 0.500 0.000
Tl1 Tl 0.000 0.500 0.500
Co1 Co 0.500 0.000 0.500
```

The value obtained for the formation energy is 3.8 kJ per mole of atoms. The symmetry is No. 47.